Computed, not measured: a relaxed structure of LaPrTc at the PBE level of DFT.

M_tot (μB per formula unit): 0.00
Calculated total energy (eV per cell): -19.73
Polymorph energy (0 for the lowest one) (meV per atom): 31
Energy of formation from the pure elements (eV/f.u.): 0.3

Unit cell a=7.353 b=7.353 c=7.353 alpha=152.11 beta=152.11 gamma=39.85
Fractional positions:
La 0.000 0.000 0.000
Pr 0.751 0.751 0.000
Tc 0.376 0.376 0.000